Computed, not measured: a geometry-optimized SmPuFe2O6 structure at the PBE with a Hubbard U level of DFT.

Output
The volume comes out at 268 Å³/cell. As for the density of states at the Fermi level: 14.6 states/eV/cell. As for the total energy: -166.6 eV/cell.

Unit cell a=5.6416 b=5.6611 c=10.0037 alpha=90.00 beta=123.06 gamma=90.00
With the nearest neighbours (Å) after each atom.
Sites, in units of the cell vectors:
Sm 0.0000 0.0000 0.0000  6 O 2.30-2.39
Sm 0.0000 0.5000 0.5000  6 O 2.30-2.39
Pu 0.5000 0.0000 0.5000  6 O 2.10-2.29
Pu 0.5000 0.5000 0.0000  6 O 2.10-2.29
Fe 0.2238 0.0270 0.7451  4 O 2.06-2.12
Fe 0.2238 0.4730 0.2451  4 O 2.06-2.12
Fe 0.7762 0.5270 0.7549  4 O 2.06-2.12
Fe 0.7762 0.9730 0.2549  4 O 2.06-2.12
O 0.1231 0.1244 0.2580  2 Fe 2.08-2.12, 1 Pu 2.29
O 0.1231 0.3756 0.7580  2 Fe 2.08-2.12, 1 Pu 2.29
O 0.2454 0.6493 0.0723  1 Fe 2.06, 1 Pu 2.11, 1 Sm 2.30
O 0.2454 0.8507 0.5723  1 Fe 2.06, 1 Pu 2.11, 1 Sm 2.30
O 0.4438 0.1792 0.0840  1 Fe 2.07, 1 Pu 2.10
O 0.4438 0.3208 0.5840  1 Fe 2.07, 1 Pu 2.10
O 0.5562 0.6792 0.4160  1 Fe 2.07, 1 Pu 2.10
O 0.5562 0.8208 0.9160  1 Fe 2.07, 1 Pu 2.10
O 0.7546 0.1493 0.4277  1 Fe 2.06, 1 Pu 2.11, 1 Sm 2.30
O 0.7546 0.3507 0.9277  1 Fe 2.06, 1 Pu 2.11, 1 Sm 2.30
O 0.8769 0.6244 0.2420  2 Fe 2.08-2.12, 1 Pu 2.29
O 0.8769 0.8756 0.7420  2 Fe 2.08-2.12, 1 Pu 2.29